# 1
{
  "formula": "BaTlW2",
  "functional": "GGA-PBE",
  "state": "relaxed",
  "magmom_total_mub_per_atom": 0.00,
  "vol_a3_per_cell": 90.6,
  "dos_at_fermi_per_ev_cell": 3.18,
  "polymorph_energy_ev_per_atom": 0.886,
  "space_group": "P4/mmm (123)",
  "lattice": [[-0.7720, 0.5732, -2.7813], [2.4660, -1.2938, -0.9511], [-5.0044, -9.1702, -0.5010]],
  "species": ["W", "W", "Ba", "Tl"],
  "fractional_positions": [[0.0000, 0.0000, 0.9671], [0.0000, 0.0000, 0.5329], [0.5000, 0.5000, 0.2500], [0.5000, 0.5000, 0.7500]]
}

# 2
{
  "formula": "BaTlW2",
  "functional": "GGA-PBE",
  "state": "relaxed",
  "magmom_total_mub_per_atom": 0.00,
  "vol_a3_per_cell": 99.9,
  "dos_at_fermi_per_ev_cell": 3.27,
  "polymorph_energy_ev_per_atom": 0.000,
  "space_group": "Pm (6)",
  "lattice": [[-0.9918, 1.4094, -2.9520], [-0.8147, -3.0946, -1.2038], [-8.7340, -2.2082, 1.8801]],
  "species": ["Ba", "W", "W", "Tl"],
  "fractional_positions": [[0.0000, 0.5161, 0.4833], [0.5000, 0.3329, 0.1672], [0.0000, 0.9532, 0.0481], [0.5000, 0.6977, 0.8013]]
}

# 3
{
  "formula": "BaTl2W",
  "functional": "GGA-PBE",
  "state": "relaxed",
  "magmom_total_mub_per_atom": 0.00,
  "vol_a3_per_cell": 113.9,
  "dos_at_fermi_per_ev_cell": 4.80,
  "polymorph_energy_ev_per_atom": 0.153,
  "space_group": "Immm (71)",
  "lattice": [[-0.5635, 2.3880, 6.3121], [4.0809, -2.5324, 4.7745], [-1.1937, 3.4926, -5.6780]],
  "species": ["Tl", "W", "Ba", "Tl"],
  "fractional_positions": [[0.0379, 0.0379, 0.0000], [0.2500, 0.7500, 0.5000], [0.7500, 0.2500, 0.5000], [0.4621, 0.4621, 0.0000]]
}

# 4
{
  "formula": "BaTlW2",
  "functional": "GGA-PBE",
  "state": "relaxed",
  "magmom_total_mub_per_atom": 0.00,
  "vol_a3_per_cell": 91.5,
  "dos_at_fermi_per_ev_cell": 4.33,
  "polymorph_energy_ev_per_atom": 0.939,
  "space_group": "Pmmm (47)",
  "lattice": [[-2.0968, -1.7876, -1.0136], [3.7755, -4.0515, -0.6646], [-0.9959, -1.7813, 5.2019]],
  "species": ["Ba", "Tl", "W", "W"],
  "fractional_positions": [[0.5000, 0.0000, 0.5000], [0.0000, 0.5000, 0.5000], [0.5000, 0.5000, 0.0000], [0.0000, 0.0000, 0.0000]]
}

# 5
{
  "formula": "BaTl2W",
  "functional": "GGA-PBE",
  "state": "relaxed",
  "magmom_total_mub_per_atom": 0.00,
  "vol_a3_per_cell": 118.1,
  "dos_at_fermi_per_ev_cell": 2.69,
  "polymorph_energy_ev_per_atom": 0.000,
  "space_group": "Cm (8)",
  "lattice": [[8.1587, 0.0010, -0.0445], [7.5339, 3.1311, -0.0445], [1.4629, 0.2920, 4.6177]],
  "species": ["W", "Tl", "Tl", "Ba"],
  "fractional_positions": [[0.4868, 0.4868, 0.5120], [0.9988, 0.9988, 0.0002], [0.8280, 0.8280, 0.6731], [0.1864, 0.1864, 0.3147]]
}

# 6
{
  "formula": "BaTl2W",
  "functional": "GGA-PBE",
  "state": "relaxed",
  "magmom_total_mub_per_atom": 0.00,
  "vol_a3_per_cell": 108.2,
  "dos_at_fermi_per_ev_cell": 2.44,
  "polymorph_energy_ev_per_atom": 0.205,
  "space_group": "Cmm2 (35)",
  "lattice": [[-3.0409, 1.0900, 0.1171], [-0.4933, -3.0734, -0.8715], [-0.6060, -2.7818, 10.1527]],
  "species": ["Ba", "Tl", "Tl", "W"],
  "fractional_positions": [[0.5000, 0.5000, 0.7227], [0.5000, 0.5000, 0.2741], [0.0000, 0.0000, 0.0278], [0.0000, 0.0000, 0.4753]]
}

In order of appearance, DFT formation energy = 1482, 596, 795, 1535, 641, 846 meV per atom.